Record 1
DFT (GGA-PBE) results for a geometry-optimized Rb4La3CeO8 structure.

a b c (Å): 7.4743 7.4743 19.7796
angles (deg): 90.00 90.00 120.00
Space group R-3m (No. 166, hexagonal axes)
Asymmetric unit:
Rb 0.0000 0.0000 0.0000 x3
Rb 0.0000 0.5000 0.0000 x9
La 0.0000 0.5000 0.5000 x9
Ce 0.0000 0.0000 0.5000 x3
O 0.0000 0.0000 0.2264 x6
O 0.0055 0.5027 0.2265 x18

* density of states at the Fermi level: 11.0 states/eV/cell
* formation energy without anion corrections: -2.60 eV per atom

Record 2
DFT (GGA-PBE) results for a geometry-optimized NiAgW2 structure.

a b c (Å): 3.7439 3.9083 8.2402
angles (deg): 90.00 90.00 90.00
Space group Cmmm (No. 65)
Asymmetric unit:
Ni 0.0000 0.0000 0.0000 x2
Ag 0.0000 0.0000 0.5000 x2
W 0.0000 0.5000 0.2231 x4

* density of states at the Fermi level: 9.3 states/eV/cell
* E_tot: -8.23 eV/atom

Record 3
DFT (GGA-PBE) results for a geometry-optimized Li2GdEr structure.

a b c (Å): 7.4048 7.4048 7.4048
angles (deg): 90.00 90.00 90.00
Space group Fm-3m (No. 225)
Asymmetric unit:
Li 0.2500 0.2500 0.2500 x8
Gd 0.0000 0.0000 0.0000 x4
Er 0.0000 0.0000 0.5000 x4

* density of states at the Fermi level: 20.4 states/eV/cell
* E_tot: -5.47 eV/atom

Record 4
DFT (GGA-PBE) results for a geometry-optimized ZrTlRh2 structure.

a b c (Å): 7.2601 7.2601 6.0435
angles (deg): 90.00 90.00 90.00
Space group I-42d (No. 122)
Asymmetric unit:
Zr 0.0000 0.0000 0.0000 x4
Tl 0.0000 0.0000 0.5000 x4
Rh 0.2267 0.7500 0.1250 x8

* density of states at the Fermi level: 8.3 states/eV/cell
* E_tot: -6.44 eV/atom

Record 5
DFT (GGA-PBE) results for a geometry-optimized PmTl3Sb2O6 structure.

a b c (Å): 6.2675 6.2675 7.4046
angles (deg): 90.00 90.00 120.00
Space group P-3m1 (No. 164)
Asymmetric unit:
Pm 0.0000 0.0000 0.0000 x1
Tl 0.0000 0.0000 0.5000 x1
Tl 0.3333 0.6667 0.1521 x2
Sb 0.3333 0.6667 0.6837 x2
O 0.1755 0.3509 0.8140 x6

* density of states at the Fermi level: 0.0 states/eV/cell
* formation energy without anion corrections: -1.53 eV per atom

Record 6
DFT (GGA-PBE) results for a geometry-optimized Lu5Ga structure.

a b c (Å): 4.6721 14.4032 4.7059
angles (deg): 90.00 90.00 90.00
Space group Cmmm (No. 65)
Asymmetric unit:
Lu 0.0000 0.0000 0.0000 x2
Lu 0.0000 0.1598 0.5000 x4
Lu 0.0000 0.3332 0.0000 x4
Ga 0.0000 0.5000 0.5000 x2

* density of states at the Fermi level: 10.6 states/eV/cell
* E_tot: -4.41 eV/atom

Record 7
DFT (GGA-PBE) results for a geometry-optimized Zr3CN structure.

a b c (Å): 5.6146 3.4301 8.7244
angles (deg): 90.00 100.57 90.00
Space group P2_1/m (No. 11)
Asymmetric unit:
Zr 0.2078 0.2500 0.2574 x2
Zr 0.2375 0.7500 0.5801 x2
Zr 0.2751 0.2500 0.9013 x2
C 0.0141 0.2500 0.6671 x2
N 0.4796 0.7500 0.8502 x2

* density of states at the Fermi level: 7.4 states/eV/cell
* formation energy without anion corrections: -0.89 eV per atom

Record 8
DFT (GGA-PBE) results for a geometry-optimized ThMgZnRh structure.

a b c (Å): 6.8991 6.8991 6.8991
angles (deg): 90.00 90.00 90.00
Space group F-43m (No. 216)
Asymmetric unit:
Th 0.0000 0.0000 0.0000 x4
Mg 0.0000 0.0000 0.5000 x4
Zn 0.2500 0.2500 0.2500 x4
Rh 0.2500 0.2500 0.7500 x4

* density of states at the Fermi level: 8.2 states/eV/cell
* E_tot: -4.84 eV/atom

Record 9
DFT (GGA-PBE) results for a geometry-optimized Mn2BeAlC structure.

a b c (Å): 3.8490 3.8490 3.4949
angles (deg): 90.00 90.00 90.00
Space group P4/mmm (No. 123)
Asymmetric unit:
Mn 0.0000 0.5000 0.0000 x2
Be 0.0000 0.0000 0.5000 x1
Al 0.5000 0.5000 0.5000 x1
C 0.0000 0.0000 0.0000 x1

* density of states at the Fermi level: 2.5 states/eV/cell
* E_tot: -7.12 eV/atom

Record 10
DFT (GGA-PBE) results for a geometry-optimized ThCd2GaCu2 structure.

a b c (Å): 4.9643 4.9643 10.7615
angles (deg): 90.00 90.00 90.00
Space group I4/mmm (No. 139)
Asymmetric unit:
Th 0.0000 0.0000 0.0000 x2
Cd 0.0000 0.5000 0.2500 x4
Ga 0.0000 0.0000 0.5000 x2
Cu 0.0000 0.0000 0.2847 x4

* density of states at the Fermi level: 5.8 states/eV/cell
* E_tot: -3.28 eV/atom

Record 11
DFT (GGA-PBE) results for a geometry-optimized HfIn2Os structure.

a b c (Å): 6.7092 6.7092 6.7092
angles (deg): 90.00 90.00 90.00
Space group Fm-3m (No. 225)
Asymmetric unit:
Hf 0.0000 0.0000 0.0000 x4
In 0.2500 0.2500 0.2500 x8
Os 0.0000 0.0000 0.5000 x4

* density of states at the Fermi level: 5.2 states/eV/cell
* E_tot: -6.45 eV/atom

Record 12
DFT (GGA-PBE) results for a geometry-optimized Ac2Ce3Se8 structure.

a b c (Å): 15.2810 8.6540 7.2834
angles (deg): 90.00 110.12 90.00
Space group C2/m (No. 12)
Asymmetric unit:
Ac 0.2319 0.0000 0.1617 x4
Ce 0.0000 0.2401 0.5000 x4
Ce 0.0000 0.5000 0.0000 x2
Se 0.1107 0.5000 0.4196 x4
Se 0.1140 0.0000 0.4292 x4
Se 0.1210 0.2733 0.9098 x8

* density of states at the Fermi level: 26.0 states/eV/cell
* formation energy without anion corrections: -1.83 eV per atom

Record 13
DFT (GGA-PBE) results for a geometry-optimized AcLa2Mg2Ag2 structure.

a b c (Å): 4.9591 4.9591 29.0560
angles (deg): 90.00 90.00 120.00
Space group R-3m (No. 166, hexagonal axes)
Asymmetric unit:
Ac 0.0000 0.0000 0.0000 x3
La 0.0000 0.0000 0.1291 x6
Mg 0.0000 0.0000 0.2599 x6
Ag 0.0000 0.0000 0.4045 x6

* density of states at the Fermi level: 24.6 states/eV/cell
* E_tot: -3.38 eV/atom

Record 14
DFT (GGA-PBE) results for a geometry-optimized Sc2PS structure.

a b c (Å): 3.9639 3.9639 21.9060
angles (deg): 90.00 90.00 120.00
Space group R-3m (No. 166, hexagonal axes)
Asymmetric unit:
Sc 0.0000 0.0000 0.1070 x6
P 0.0000 0.0000 0.5000 x3
S 0.0000 0.0000 0.0000 x3

* density of states at the Fermi level: 10.7 states/eV/cell
* formation energy without anion corrections: -1.18 eV per atom

Record 15
DFT (GGA-PBE) results for a geometry-optimized BaReAgCl2 structure.

a b c (Å): 5.0702 5.0702 6.4163
angles (deg): 90.00 90.00 90.00
Space group P4/mmm (No. 123)
Asymmetric unit:
Ba 0.0000 0.0000 0.0000 x1
Re 0.5000 0.5000 0.0000 x1
Ag 0.0000 0.0000 0.5000 x1
Cl 0.0000 0.5000 0.5000 x2

* density of states at the Fermi level: 3.4 states/eV/cell
* formation energy without anion corrections: 0.62 eV per atom

Record 16
DFT (GGA-PBE) results for a geometry-optimized InIr2S4 structure.

a b c (Å): 6.4694 6.4694 12.6144
angles (deg): 90.00 90.00 90.00
Space group I4_1/a (No. 88, origin choice 2)
Asymmetric unit:
In 0.0000 0.2500 0.1250 x4
Ir 0.0000 0.0000 0.5000 x8
S 0.1597 0.4508 0.3372 x16

* density of states at the Fermi level: 21.8 states/eV/cell
* formation energy without anion corrections: -0.15 eV per atom

Record 17
DFT (GGA-PBE) results for a geometry-optimized Sm2Er3Al3 structure.

a b c (Å): 3.6810 5.1102 21.7123
angles (deg): 90.00 90.00 90.00
Space group Immm (No. 71)
Asymmetric unit:
Sm 0.0000 0.0000 0.2291 x4
Er 0.0000 0.0000 0.0000 x2
Er 0.0000 0.5000 0.1176 x4
Al 0.0000 0.0000 0.5000 x2
Al 0.0000 0.5000 0.3870 x4

* density of states at the Fermi level: 10.0 states/eV/cell
* E_tot: -4.57 eV/atom

Record 18
DFT (GGA-PBE) results for a geometry-optimized TmAl9Pd2 structure.

a b c (Å): 10.6872 10.6872 7.1748
angles (deg): 90.00 90.00 90.00
Space group I4_1/amd (No. 141, origin choice 2)
Asymmetric unit:
Tm 0.0000 0.2500 0.3750 x4
Al 0.0000 0.2500 0.8750 x4
Al 0.1218 0.0485 0.6788 x32
Pd 0.0000 0.0000 0.0000 x8

* density of states at the Fermi level: 13.1 states/eV/cell
* E_tot: -4.44 eV/atom

Record 19
DFT (GGA-PBE) results for a geometry-optimized BeI2Br structure.

a b c (Å): 7.5106 7.5106 7.5106
angles (deg): 90.00 90.00 90.00
Space group Fm-3m (No. 225)
Asymmetric unit:
Be 0.0000 0.0000 0.0000 x4
I 0.2500 0.2500 0.2500 x8
Br 0.0000 0.0000 0.5000 x4

* density of states at the Fermi level: 20.4 states/eV/cell
* formation energy without anion corrections: 0.73 eV per atom

Record 20
DFT (GGA-PBE) results for a geometry-optimized ReSiSe2 structure.

a b c (Å): 5.1426 10.7808 3.1584
angles (deg): 90.00 127.33 90.00
Space group C2/m (No. 12)
Asymmetric unit:
Re 0.0000 0.0000 0.0000 x2
Si 0.0000 0.5000 0.0000 x2
Se 0.2500 0.2500 0.0000 x4

* density of states at the Fermi level: 6.1 states/eV/cell
* formation energy without anion corrections: 0.69 eV per atom

Record 21
DFT (GGA-PBE) results for a geometry-optimized KSc2Sb structure.

a b c (Å): 4.5011 4.5011 10.5512
angles (deg): 90.00 90.00 90.00
Space group I-4m2 (No. 119)
Asymmetric unit:
K 0.0000 0.0000 0.0000 x2
Sc 0.0000 0.0000 0.5000 x2
Sc 0.0000 0.5000 0.2500 x2
Sb 0.0000 0.5000 0.7500 x2

* density of states at the Fermi level: 8.8 states/eV/cell
* formation energy without anion corrections: 0.07 eV per atom

Record 22
DFT (GGA-PBE) results for a geometry-optimized Er5Ir2Pt2 structure.

a b c (Å): 14.6031 7.4083 7.4628
angles (deg): 90.00 90.00 90.00
Space group Cmce (No. 64)
Asymmetric unit:
Er 0.0000 0.0000 0.0000 x4
Er 0.1349 0.1728 0.3310 x16
Ir 0.0000 0.1302 0.6288 x8
Pt 0.2038 0.0000 0.0000 x8

* density of states at the Fermi level: 16.6 states/eV/cell
* E_tot: -6.88 eV/atom

Record 23
DFT (GGA-PBE) results for a geometry-optimized BeSb2Br structure.

a b c (Å): 3.4572 6.2784 9.8900
angles (deg): 90.00 90.00 90.00
Space group Cmm2 (No. 35)
Asymmetric unit:
Be 0.0000 0.0000 0.0000 x2
Sb 0.0000 0.0000 0.4491 x2
Sb 0.0000 0.5000 0.1997 x2
Br 0.0000 0.5000 0.8542 x2

* density of states at the Fermi level: 2.4 states/eV/cell
* formation energy without anion corrections: 0.13 eV per atom

Record 24
DFT (GGA-PBE) results for a geometry-optimized RbTiGa2Se structure.

a b c (Å): 5.1925 5.1925 4.9947
angles (deg): 90.00 90.00 90.00
Space group P4/mmm (No. 123)
Asymmetric unit:
Rb 0.0000 0.0000 0.0000 x1
Ti 0.5000 0.5000 0.5000 x1
Ga 0.0000 0.5000 0.5000 x2
Se 0.5000 0.5000 0.0000 x1

* density of states at the Fermi level: 2.8 states/eV/cell
* formation energy without anion corrections: -0.29 eV per atom

Record 25
DFT (GGA-PBE) results for a geometry-optimized TeAsWN2 structure.

a b c (Å): 3.8072 3.8072 7.1095
angles (deg): 90.00 90.00 90.00
Space group P4/mmm (No. 123)
Asymmetric unit:
Te 0.0000 0.0000 0.0000 x1
As 0.0000 0.0000 0.5000 x1
W 0.5000 0.5000 0.0000 x1
N 0.0000 0.5000 0.5000 x2

* density of states at the Fermi level: 2.7 states/eV/cell
* formation energy without anion corrections: 1.94 eV per atom